Record 1
DFT (PBE-GGA) results for crystalline Li5CdPb3 at its relaxed geometry.

Computed properties:
Its total energy is -0.0972 hartree per atom. Its crystal system is hexagonal. For the formation energy, the calculation gives -0.245 eV/atom.

Cell: 8.5271 8.5271 5.9589 Å, 90.00 90.00 120.00°
Space group P6_3/mcm (No. 193)
Symmetry-distinct sites (fractional):
Li (0.0000, 0.3015, 0.2500) (multiplicity 6)
Li (0.3333, 0.6667, 0.0000) (multiplicity 4)
Cd (0.0000, 0.0000, 0.0000) (multiplicity 2)
Pb (0.0000, 0.3645, 0.7500) (multiplicity 6)

Record 2
DFT (PBE-GGA) results for crystalline PuAgCO5 at its relaxed geometry.

Computed properties:
Its total energy is -0.2921 hartree per atom. The formation energy (no corrections) comes out at -12.400 eV per formula unit. Its crystal system is monoclinic.

Cell: 7.064 8.534 7.771 Å, 90.00 116.05 90.00°
Space group C2/c (No. 15)
Symmetry-distinct sites (fractional):
Pu (0.250, 0.250, 0.000) (multiplicity 4)
Ag (0.000, 0.090, 0.250) (multiplicity 4)
C (0.000, 0.431, 0.250) (multiplicity 4)
O (0.000, 0.164, 0.750) (multiplicity 4)
O (0.040, 0.330, 0.124) (multiplicity 8)
O (0.177, 0.478, 0.855) (multiplicity 8)

Record 3
DFT (PBE-GGA) results for crystalline Tm4AlAg2Au at its relaxed geometry.

Computed properties:
Its total energy is -0.1587 hartree per atom. Its crystal system is trigonal. For the formation energy, the calculation gives -0.493 eV/atom.

Cell: 5.0511 5.0511 24.8388 Å, 90.00 90.00 120.00°
Space group R-3m (No. 166, hexagonal axes)
Symmetry-distinct sites (fractional):
Tm (0.0000, 0.0000, 0.1222) (multiplicity 6)
Tm (0.0000, 0.0000, 0.3729) (multiplicity 6)
Al (0.0000, 0.0000, 0.5000) (multiplicity 3)
Ag (0.0000, 0.0000, 0.2436) (multiplicity 6)
Au (0.0000, 0.0000, 0.0000) (multiplicity 3)

Record 4
DFT (PBE-GGA) results for crystalline YRePt at its relaxed geometry.

Computed properties:
Its total energy is -0.2949 hartree per atom. Its crystal system is cubic. For the formation energy, the calculation gives 0.293 eV/atom. The relative energy among the computed polymorphs is 459 meV per atom.

Cell: 6.441 6.441 6.441 Å, 90.00 90.00 90.00°
Space group F-43m (No. 216)
Symmetry-distinct sites (fractional):
Y (0.000, 0.000, 0.000) (multiplicity 4)
Re (0.000, 0.000, 0.500) (multiplicity 4)
Pt (0.250, 0.250, 0.750) (multiplicity 4)

Record 5
DFT (PBE-GGA) results for crystalline LaNb2CoN4 at its relaxed geometry.

Computed properties:
Its total energy is -0.3352 hartree per atom. The formation energy (no corrections) comes out at -7.500 eV per formula unit. Its crystal system is orthorhombic.

Cell: 3.208 10.914 10.885 Å, 90.00 90.00 90.00°
Space group Cmcm (No. 63)
Symmetry-distinct sites (fractional):
La (0.000, 0.105, 0.250) (multiplicity 4)
Nb (0.000, 0.368, 0.057) (multiplicity 8)
Co (0.000, 0.160, 0.750) (multiplicity 4)
N (0.000, 0.000, 0.000) (multiplicity 4)
N (0.000, 0.269, 0.610) (multiplicity 8)
N (0.000, 0.437, 0.250) (multiplicity 4)

Record 6
DFT (PBE-GGA) results for crystalline Pr2AgPd at its relaxed geometry.

Computed properties:
Its total energy is -0.1758 hartree per atom. Its crystal system is trigonal. For the formation energy, the calculation gives -0.384 eV/atom. The relative energy among the computed polymorphs is 122 meV per atom.

Cell: 4.2703 4.2703 22.0964 Å, 90.00 90.00 120.00°
Space group R3m (No. 160, hexagonal axes)
Symmetry-distinct sites (fractional):
Pr (0.0000, 0.0000, 0.0000) (multiplicity 3)
Pr (0.0000, 0.0000, 0.1857) (multiplicity 3)
Ag (0.0000, 0.0000, 0.7581) (multiplicity 3)
Pd (0.0000, 0.0000, 0.5943) (multiplicity 3)